No. 1
An optimized crystal structure of SrLa2Sc, computed with GGA-PBE.

- magnetic moment (μB per formula unit) = 0.0
- theoretical density (g/cm3) = 4.66
- DOS(E_F) (states/eV/f.u.) = 8.556
- ΔE to the lowest computed polymorph (meV/atom) = 120.3

a = 8.3609 Å, b = 8.3609 Å, c = 8.3609 Å
α = 90.00°, β = 90.00°, γ = 90.00°
Closest atoms and distances in Å follow each position.
Space group Fm-3m (No. 225)
Inequivalent atoms, fractional coordinates:
Sr: 0.0000 0.0000 0.0000 [4 per cell]  8 La 3.62
La: 0.2500 0.2500 0.2500 [8 per cell]  4 Sc 3.62, 4 Sr 3.62
Sc: 0.0000 0.0000 0.5000 [4 per cell]  8 La 3.62



No. 2
An optimized crystal structure of TaV3W, computed with GGA-PBE.

- magnetic moment (μB per formula unit) = 0.0
- theoretical density (g/cm3) = 11.48
- DOS(E_F) (states/eV/f.u.) = 7.612
- ΔE to the lowest computed polymorph (meV/atom) = 1.1

a = 12.8146 Å, b = 4.3739 Å, c = 5.3944 Å
α = 90.00°, β = 97.96°, γ = 90.00°
Closest atoms and distances in Å follow each position.
Space group C2/m (No. 12)
Inequivalent atoms, fractional coordinates:
Ta: 0.1994 0.0000 0.1462 [4 per cell]  8 V 2.69-2.76
V: 0.0026 0.0000 0.7520 [4 per cell]  5 V 2.63-2.71, 2 W 2.70, 1 Ta 2.72
V: 0.0943 0.5000 0.9463 [4 per cell]  3 V 2.56-2.63, 2 W 2.69-2.70, 3 Ta 2.71-2.76
V: 0.1966 0.0000 0.6446 [4 per cell]  1 V 2.63, 3 W 2.66-2.73, 4 Ta 2.69-2.72
W: 0.0997 0.5000 0.4487 [4 per cell]  7 V 2.66-2.73, 1 W 2.69



No. 3
An optimized crystal structure of Tb5Sn3, computed with GGA-PBE.

- magnetic moment (μB per formula unit) = 0.4
- theoretical density (g/cm3) = 8.27
- DOS(E_F) (states/eV/f.u.) = 8.325
- ΔE to the lowest computed polymorph (meV/atom) = 71.9

a = 8.1824 Å, b = 8.1824 Å, c = 13.8096 Å
α = 90.00°, β = 90.00°, γ = 90.00°
Closest atoms and distances in Å follow each position.
Space group I4/mcm (No. 140)
Inequivalent atoms, fractional coordinates:
Tb: 0.0000 0.0000 0.0000 [4 per cell]  6 Sn 3.15-3.45
Tb: 0.1586 0.3414 0.1498 [16 per cell]  5 Sn 3.10-3.38
Sn: 0.0000 0.0000 0.2500 [4 per cell]  10 Tb 3.38-3.45
Sn: 0.1414 0.3586 0.5000 [8 per cell]  8 Tb 3.10-3.21, 1 Sn 3.27